Record 1
Material: LiReBr2
Method: DFT, PBE-GGA
State: optimized geometry

The calculation puts the density of states at the Fermi level at 0.434 states/eV per atom. The calculation puts the total energy at -4.15 eV per atom. For the volume, the calculation gives 81 Å³/f.u. The calculation puts the distance to the lowest polymorph of the same formula at 140.2 meV per atom. As for the formation energy without anion corrections: 0.279 eV per atom.

The space group is R3m (No. 160, hexagonal axes) and the conventional cell measures 3.1212, 3.1212 and 28.8136 Å, with angles of 90.00, 90.00 and 120.00 degrees. The distinct sites, in fractional coordinates, are Li at (0.0000, 0.0000, 0.0000), Re at (0.0000, 0.0000, 0.7502), Br at (0.0000, 0.0000, 0.2705) and Br at (0.0000, 0.0000, 0.4800).

***

Record 2
Material: Tb2Dy3Ho5
Method: DFT, PBE-GGA
State: optimized geometry

The calculation puts the density of states at the Fermi level at 1.568 states/eV per atom. The calculation puts the total energy at -4.32 eV per atom. For the volume, the calculation gives 323 Å³/f.u. The calculation puts the distance to the lowest polymorph of the same formula at 69.6 meV per atom.

The space group is Ibam (No. 72) and the conventional cell measures 11.1103, 17.5180 and 6.6297 Å, with angles of 90.00, 90.00 and 90.00 degrees. The distinct sites, in fractional coordinates, are Tb at (0.2353, 0.0277, 0.0000), Dy at (0.0000, 0.0000, 0.2500), Dy at (0.2113, 0.3278, 0.0000), Ho at (0.0000, 0.1822, 0.2500), Ho at (0.0000, 0.5000, 0.2500) and Ho at (0.0966, 0.3309, 0.5000).

***

Record 3
Material: Ac2Sm7Tm4
Method: DFT, PBE-GGA
State: optimized geometry

The calculation puts the density of states at the Fermi level at 1.503 states/eV per atom. The calculation puts the total energy at -4.32 eV per atom. For the volume, the calculation gives 450 Å³/f.u.

The space group is P-31m (No. 162) and the conventional cell measures 6.2741, 6.2741 and 13.2005 Å, with angles of 90.00, 90.00 and 120.00 degrees. The distinct sites, in fractional coordinates, are Ac at (0.3333, 0.6667, 0.0000), Sm at (0.0000, 0.0000, 0.0000), Sm at (0.0000, 0.3701, 0.7708), Tm at (0.0000, 0.0000, 0.3940) and Tm at (0.3333, 0.6667, 0.5000).